Entry 1:
A relaxed structure of NaMgN. Source: Alexandria, functional PBE-GGA.

magnetization	0.0	μB/f.u.
space-group type	P-6m2 (187)
energy relative to the elements, uncorrected	0.11	eV/atom

abc: 4.3775 4.3775 3.8831
angles: 90.00 90.00 120.00
Positions (direct):
Mg 0.6667 0.3333 0.0000
N 0.6667 0.3333 0.5000
Na 0.0000 0.0000 0.5000

=====

Entry 2:
A relaxed structure of Re3Se2Cl5. Source: Alexandria, functional PBE-GGA.

magnetization	0.0	μB/f.u.
space-group type	P1 (1)
energy relative to the elements, uncorrected	-0.60	eV/atom

abc: 9.5302 9.4652 12.8719
angles: 84.11 85.59 85.59
Positions (direct):
Se 0.0904 0.7501 0.8629
Se 0.5521 0.5862 0.2609
Se 0.4482 0.4194 0.7377
Se 0.7343 0.9213 0.1471
Se 0.3841 0.7643 0.6135
Se 0.2443 0.0536 0.1333
Se 0.7833 0.3759 0.5892
Se 0.6178 0.2402 0.3869
Cl 0.8025 0.6125 0.0162
Cl 0.2865 0.2725 0.5335
Cl 0.6072 0.2284 0.9997
Cl 0.5677 0.0842 0.6535
Cl 0.9799 0.9674 0.3289
Cl 0.9223 0.2684 0.8576
Cl 0.1014 0.5328 0.6636
Cl 0.0726 0.7315 0.1414
Cl 0.0166 0.0320 0.6744
Cl 0.9009 0.4747 0.3265
Cl 0.1927 0.3803 0.9830
Cl 0.7095 0.6694 0.7349
Cl 0.7102 0.7359 0.4631
Cl 0.4273 0.9186 0.3502
Cl 0.2537 0.0732 0.8573
Cl 0.9096 0.2386 0.1329
Cl 0.7608 0.9442 0.8713
Cl 0.3941 0.7683 0.9980
Cl 0.2272 0.6305 0.4089
Cl 0.2934 0.3394 0.2657
Re 0.5881 0.5754 0.6063
Re 0.9107 0.8269 0.0070
Re 0.1738 0.8956 0.9998
Re 0.0877 0.1655 0.9957
Re 0.9901 0.9841 0.1466
Re 0.5371 0.3187 0.5664
Re 0.0079 0.0076 0.8552
Re 0.3290 0.5200 0.5774
Re 0.4175 0.4274 0.3936
Re 0.6760 0.4839 0.4225
Re 0.4687 0.6842 0.4346
Re 0.8231 0.0966 0.0028

=====

Entry 3:
A relaxed structure of Pa2OsO8. Source: Alexandria, functional PBE-GGA.

magnetization	2.0	μB/f.u.
space-group type	P-1 (2)
energy relative to the elements, uncorrected	-2.42	eV/atom

abc: 4.4600 6.4409 6.8859
angles: 86.28 105.94 122.40
Each line ends with the local moment (μB).
Positions (direct):
O 0.6442 0.3547 0.0161  0.06
O 0.9952 0.1511 0.1688  0.08
O 0.3566 0.9057 0.2473  0.09
O 0.7481 0.5540 0.4068  0.00
O 0.2519 0.4460 0.5932  0.00
O 0.3558 0.6453 0.9839  0.06
O 0.6434 0.0943 0.7527  0.09
O 0.0048 0.8489 0.8312  0.08
Pa 0.8072 0.4734 0.7212  0.12
Pa 0.1928 0.5266 0.2788  0.12
Os 0.5000 0.0000 0.0000  1.18

=====

Entry 4:
A relaxed structure of Lu3Be. Source: Alexandria, functional PBE-GGA.

magnetization	0.0	μB/f.u.
space-group type	Pmm2 (25)
energy relative to the elements	0.336	eV per atom

abc: 3.5508 3.3511 8.7638
angles: 90.00 90.00 90.00
Positions (direct):
Lu 0.5000 0.5000 0.1317
Lu 0.5000 0.0000 0.7439
Lu 0.0000 0.5000 0.4661
Be 0.0000 0.0000 0.9916

=====

Entry 5:
A relaxed structure of Fe2PAu. Source: Alexandria, functional PBE-GGA.

magnetization	4.5	μB/f.u.
space-group type	Pmm2 (25)
energy relative to the elements	0.079	eV per atom

abc: 3.9336 2.8583 5.0085
angles: 90.02 90.00 90.00
Each line ends with the local moment (μB).
Positions (direct):
Au 0.5000 0.6252 0.7881  0.06
P 0.0000 0.6249 0.3758  -0.02
Fe 0.0000 0.1248 0.0272  2.21
Fe 0.5000 0.1251 0.3089  2.25

=====

Entry 6:
A relaxed structure of HfBeRh. Source: Alexandria, functional PBE-GGA.

magnetization	0.0	μB/f.u.
space-group type	P4_12_12 (92)
energy relative to the elements	-0.073	eV per atom

abc: 5.9090 5.9090 5.7151
angles: 90.00 90.00 90.00
Positions (direct):
Rh 0.8290 0.8290 0.5000
Rh 0.6710 0.3290 0.7500
Rh 0.1710 0.1710 0.0000
Rh 0.3290 0.6710 0.2500
Hf 0.2703 0.2703 0.5000
Hf 0.2297 0.7703 0.7500
Hf 0.7297 0.7297 0.0000
Hf 0.7703 0.2297 0.2500
Be 0.9244 0.0756 0.7500
Be 0.0756 0.9244 0.2500
Be 0.5756 0.5756 0.5000
Be 0.4244 0.4244 0.0000

=====

Entry 7:
A relaxed structure of BSbWI2. Source: Alexandria, functional PBE-GGA.

magnetization	3.2	μB/f.u.
space-group type	P4/mmm (123)
energy relative to the elements, uncorrected	1.70	eV/atom

abc: 4.8692 4.8692 4.9605
angles: 90.00 90.00 90.00
Each line ends with the local moment (μB).
Positions (direct):
Sb 0.0000 0.0000 0.5000  -0.14
I 0.5000 0.0000 0.0000  -0.03
I 0.0000 0.5000 0.0000  -0.03
B 0.0000 0.0000 0.0000  0.03
W 0.5000 0.5000 0.5000  2.61

=====

Entry 8:
A relaxed structure of U2CuSe2S2. Source: Alexandria, functional PBE-GGA.

magnetization	5.0	μB/f.u.
space-group type	P-3m1 (164)
energy relative to the elements, uncorrected	-0.96	eV/atom

abc: 4.4358 4.4358 11.2823
angles: 90.00 90.00 120.00
Each line ends with the local moment (μB).
Positions (direct):
Se 0.0000 0.0000 0.7998  -0.06
Se 0.0000 0.0000 0.2002  -0.06
S 0.6667 0.3333 0.5847  -0.08
S 0.3333 0.6667 0.4153  -0.08
U 0.3333 0.6667 0.6630  2.45
U 0.6667 0.3333 0.3370  2.45
Cu 0.0000 0.0000 0.0000  -0.02

=====

Entry 9:
A relaxed structure of Pm3ErCd. Source: Alexandria, functional PBE-GGA.

magnetization	0.0	μB/f.u.
space-group type	Pmmn (59)
energy relative to the elements	0.004	eV per atom

abc: 3.8047 11.1640 10.5653
angles: 90.00 90.00 132.97
Positions (direct):
Cd 0.7772 0.7639 0.2500
Cd 0.2228 0.2361 0.7500
Pm 0.2635 0.7568 0.9985
Pm 0.2635 0.7568 0.5015
Pm 0.7365 0.2432 0.0015
Pm 0.6485 0.4495 0.2500
Pm 0.3515 0.5505 0.7500
Pm 0.7365 0.2432 0.4985
Er 0.8672 0.0587 0.2500
Er 0.1328 0.9413 0.7500

=====

Entry 10:
A relaxed structure of SrLiGaGe2. Source: Alexandria, functional PBE-GGA.

magnetization	0.0	μB/f.u.
space-group type	I-4m2 (119)
energy relative to the elements	-0.454	eV per atom

abc: 4.4170 4.4170 6.3151
angles: 110.47 110.47 90.00
Positions (direct):
Ge 0.6157 0.6157 0.2314
Ge 0.3843 0.3843 0.7686
Sr 0.0000 0.0000 0.0000
Li 0.7500 0.2500 0.5000
Ga 0.2500 0.7500 0.5000

=====

Entry 11:
A relaxed structure of Co2MoPd2. Source: Alexandria, functional PBE-GGA.

magnetization	3.2	μB/f.u.
space-group type	I4/mmm (139)
energy relative to the elements	0.437	eV per atom

abc: 3.0717 3.0717 8.1155
angles: 79.09 79.09 90.00
Each line ends with the local moment (μB).
Positions (direct):
Co 0.7500 0.2500 0.5000  1.65
Co 0.2500 0.7500 0.5000  1.65
Pd 0.6094 0.6094 0.7811  0.04
Pd 0.3906 0.3906 0.2189  0.04
Mo 0.0000 0.0000 0.0000  -0.10

=====

Entry 12:
A relaxed structure of InHPd3. Source: Alexandria, functional PBE-GGA.

magnetization	0.0	μB/f.u.
E_tot	-0.31179	Ry per atom
space-group type	Amm2 (38)

abc: 2.8225 7.0790 7.0790
angles: 135.01 90.00 90.00
Positions (direct):
In 0.5000 0.0951 0.9049
H 0.0000 0.4290 0.5710
Pd 0.5000 0.6716 0.8347
Pd 0.0000 0.2669 0.7331
Pd 0.5000 0.1653 0.3284

=====

- What is the formula in the twelfth record?
  InHPd3